VASP calculation (PBE) on a geometry-optimized PrP2Os structure.

a b c (Å): 5.646 5.646 5.646
angles (deg): 42.00 42.00 42.00
Element x y z (fractional)
Pr 0.000 0.000 0.000
P 0.216 0.216 0.216
P 0.784 0.784 0.784
Os 0.500 0.500 0.500

Values from the calculation:
Crystal system: trigonal
Energy in eV/atom: -7.501
Total moment in μB per formula unit: 0.00